DFT (PBE) results for crystalline H3RuI at its relaxed geometry.

The crystal system is cubic. Its energy is -3.39 eV per atom. As for the theoretical density: 7.3 g/cm3. The calculation puts the energy relative to the lowest polymorph listed for this composition at 0.0000 eV/atom. The density of states at the Fermi level is 0.62 states/eV per atom. For the total magnetic moment, the calculation gives 0.00 μB per cell.

It has space group Pm-3m (No. 221), with a = 3.749 Å, b = 3.749 Å, c = 3.749 Å, α = 90.00°, β = 90.00° and γ = 90.00°. The inequivalent atoms are H at (0.000, 0.000, 0.500), Ru at (0.000, 0.000, 0.000) and I at (0.500, 0.500, 0.500).